1.
## HfScRh2N (GGA-PBE)

Data for an optimized crystal structure of HfScRh2N.

Unit cell a=4.723 b=4.723 c=3.985 alpha=90.00 beta=90.00 gamma=90.00
Atoms (fractional coordinates):
Sc 0.000 0.000 0.000
Rh 0.000 0.500 0.000
Rh 0.500 0.000 0.000
Hf 0.500 0.500 0.500
N 0.000 0.000 0.500

Summary:
SG	P4/mmm, No. 123
raw formation energy	0.52	eV/atom
calculated total energy	-7.3448	eV/atom
size of the total moment	0.00	μB/f.u.

2.
## Hf2ScRhN (GGA-PBE)

Data for an optimized crystal structure of Hf2ScRhN.

Unit cell a=4.402 b=4.402 c=4.278 alpha=90.00 beta=90.00 gamma=90.00
Atoms (fractional coordinates):
Sc 0.000 0.000 0.500
Rh 0.500 0.500 0.500
Hf 0.000 0.500 0.000
Hf 0.500 0.000 0.000
N 0.000 0.000 0.000

Summary:
SG	P4/mmm, No. 123
raw formation energy	-0.99	eV/atom
calculated total energy	-9.3735	eV/atom
size of the total moment	0.00	μB/f.u.